Entry 1:
Entry from Alexandria via LeMat-Bulk: a relaxed structure of SiTe (PBE).

Summary:
Raw formation energy, kJ/mol of atoms: 1

Structure (CIF):
```
data_SiTe
_chemical_formula_sum 'Si4 Te4'
_cell_length_a 3.862
_cell_length_b 15.413
_cell_length_c 4.109
_cell_angle_alpha 90.00
_cell_angle_beta 90.00
_cell_angle_gamma 90.00
_symmetry_space_group_name_H-M 'C m c 21'
_symmetry_Int_Tables_number 36
loop_
_symmetry_equiv_pos_as_xyz
'x,y,z'
'-x,-y,z+1/2'
'-x,y,z'
'x,-y,z+1/2'
'x+1/2,y+1/2,z'
'-x+1/2,-y+1/2,z+1/2'
'-x+1/2,y+1/2,z'
'x+1/2,-y+1/2,z+1/2'
loop_
_atom_site_label
_atom_site_fract_x
_atom_site_fract_y
_atom_site_fract_z
Si1 0.000 0.039 0.000
Te1 0.000 0.356 0.609
```


Entry 2:
Entry from Alexandria via LeMat-Bulk: a relaxed structure of MnAg2Ir (PBE).

Summary:
Formation enthalpy at 0 K, eV per atom: 0.287

Structure (CIF):
```
data_MnAg2Ir
_chemical_formula_sum 'Mn2 Ag4 Ir2'
_cell_length_a 3.859
_cell_length_b 3.859
_cell_length_c 8.612
_cell_angle_alpha 90.00
_cell_angle_beta 90.00
_cell_angle_gamma 90.00
_symmetry_space_group_name_H-M 'I 4/m m m'
_symmetry_Int_Tables_number 139
_symmetry_space_group_name_Hall '-I 4 2'
loop_
_atom_site_label
_atom_site_fract_x
_atom_site_fract_y
_atom_site_fract_z
Mn1 0.000 0.000 0.000
Ag1 0.000 0.500 0.250
Ir1 0.000 0.000 0.500
```


Entry 3:
Entry from Alexandria via LeMat-Bulk: a relaxed structure of AcThSi3 (PBE).

Summary:
Raw formation energy, kJ/mol of atoms: -58

Structure (CIF):
```
data_AcThSi3
_chemical_formula_sum 'Ac4 Th4 Si12'
_cell_length_a 4.533
_cell_length_b 25.373
_cell_length_c 4.112
_cell_angle_alpha 90.00
_cell_angle_beta 90.00
_cell_angle_gamma 90.00
_symmetry_space_group_name_H-M 'C m c m'
_symmetry_Int_Tables_number 63
_symmetry_space_group_name_Hall '-C 2c 2'
loop_
_atom_site_label
_atom_site_fract_x
_atom_site_fract_y
_atom_site_fract_z
Ac1 0.000 0.071 0.250
Th1 0.000 0.202 0.750
Si1 0.000 0.322 0.750
Si2 0.000 0.379 0.250
Si3 0.000 0.475 0.250
```


Entry 4:
Entry from Alexandria via LeMat-Bulk: a relaxed structure of Li2CdRe (PBE).

Summary:
Formation enthalpy at 0 K, eV per atom: 0.388

Structure (CIF):
```
data_Li2CdRe
_chemical_formula_sum 'Li2 Cd1 Re1'
_cell_length_a 2.614
_cell_length_b 4.494
_cell_length_c 5.568
_cell_angle_alpha 90.00
_cell_angle_beta 90.00
_cell_angle_gamma 90.00
_symmetry_space_group_name_H-M 'P m m 2'
_symmetry_Int_Tables_number 25
loop_
_symmetry_equiv_pos_as_xyz
'x,y,z'
'-x,-y,z'
'-x,y,z'
'x,-y,z'
loop_
_atom_site_label
_atom_site_fract_x
_atom_site_fract_y
_atom_site_fract_z
Li1 0.000 0.000 0.000
Li2 0.500 0.500 0.255
Cd1 0.500 0.500 0.732
Re1 0.000 0.000 0.492
```


Entry 5:
Entry from Alexandria via LeMat-Bulk: a relaxed structure of Al2GeAuC (PBE).

Summary:
Formation enthalpy at 0 K, eV per atom: 1.742

Structure (CIF):
```
data_Al2GeAuC
_chemical_formula_sum 'Al2 Ge1 Au1 C1'
_cell_length_a 4.945
_cell_length_b 4.945
_cell_length_c 4.801
_cell_angle_alpha 90.00
_cell_angle_beta 90.00
_cell_angle_gamma 90.00
_symmetry_space_group_name_H-M 'P 4/m m m'
_symmetry_Int_Tables_number 123
_symmetry_space_group_name_Hall '-P 4 2'
loop_
_atom_site_label
_atom_site_fract_x
_atom_site_fract_y
_atom_site_fract_z
Al1 0.000 0.500 0.000
Ge1 0.000 0.000 0.000
Au1 0.000 0.000 0.500
C1 0.500 0.500 0.500
```


Entry 6:
Entry from Alexandria via LeMat-Bulk: a relaxed structure of Tl2ZnBi2 (PBE).

Summary:
Formation enthalpy at 0 K, eV per atom: 0.292

Structure (CIF):
```
data_Tl2ZnBi2
_chemical_formula_sum 'Tl4 Zn2 Bi4'
_cell_length_a 4.482
_cell_length_b 4.482
_cell_length_c 16.022
_cell_angle_alpha 90.00
_cell_angle_beta 90.00
_cell_angle_gamma 90.00
_symmetry_space_group_name_H-M 'I 4/m m m'
_symmetry_Int_Tables_number 139
_symmetry_space_group_name_Hall '-I 4 2'
loop_
_atom_site_label
_atom_site_fract_x
_atom_site_fract_y
_atom_site_fract_z
Tl1 0.000 0.500 0.250
Zn1 0.000 0.000 0.000
Bi1 0.000 0.000 0.406
```


Entry 7:
Entry from Alexandria via LeMat-Bulk: a relaxed structure of K2RbHg3 (PBE).

Summary:
Formation enthalpy at 0 K, eV per atom: -0.214

Structure (CIF):
```
data_K2RbHg3
_chemical_formula_sum 'K8 Rb4 Hg12'
_cell_length_a 17.202
_cell_length_b 9.958
_cell_length_c 6.263
_cell_angle_alpha 90.00
_cell_angle_beta 90.00
_cell_angle_gamma 90.00
_symmetry_space_group_name_H-M 'C m c m'
_symmetry_Int_Tables_number 63
_symmetry_space_group_name_Hall '-C 2c 2'
loop_
_atom_site_label
_atom_site_fract_x
_atom_site_fract_y
_atom_site_fract_z
K1 0.165 0.169 0.250
Rb1 0.000 0.336 0.750
Hg1 0.000 0.000 0.000
Hg2 0.174 0.500 0.000
```


Entry 8:
Entry from Alexandria via LeMat-Bulk: a relaxed structure of CeErCoPt (PBE).

Summary:
Formation enthalpy at 0 K, eV per atom: -0.583

Structure (CIF):
```
data_CeErCoPt
_chemical_formula_sum 'Ce4 Er4 Co4 Pt4'
_cell_length_a 6.895
_cell_length_b 6.895
_cell_length_c 6.895
_cell_angle_alpha 90.00
_cell_angle_beta 90.00
_cell_angle_gamma 90.00
_symmetry_space_group_name_H-M 'F -4 3 m'
_symmetry_Int_Tables_number 216
_symmetry_space_group_name_Hall 'F -4 2 3'
loop_
_atom_site_label
_atom_site_fract_x
_atom_site_fract_y
_atom_site_fract_z
Ce1 0.000 0.000 0.000
Er1 0.000 0.000 0.500
Co1 0.250 0.250 0.750
Pt1 0.250 0.250 0.250
```


Entry 9:
Entry from Alexandria via LeMat-Bulk: a relaxed structure of ZnAgNO2 (PBE).

Summary:
Raw formation energy, kJ/mol of atoms: 102

Structure (CIF):
```
data_ZnAgNO2
_chemical_formula_sum 'Zn1 Ag1 N1 O2'
_cell_length_a 4.107
_cell_length_b 4.107
_cell_length_c 3.953
_cell_angle_alpha 90.00
_cell_angle_beta 90.00
_cell_angle_gamma 90.00
_symmetry_space_group_name_H-M 'P 4/m m m'
_symmetry_Int_Tables_number 123
_symmetry_space_group_name_Hall '-P 4 2'
loop_
_atom_site_label
_atom_site_fract_x
_atom_site_fract_y
_atom_site_fract_z
Zn1 0.000 0.000 0.000
Ag1 0.500 0.500 0.500
N1 0.500 0.500 0.000
O1 0.000 0.500 0.500
```


Entry 10:
Entry from Alexandria via LeMat-Bulk: a relaxed structure of LaTb6Pr12 (PBE).

Summary:
Formation enthalpy at 0 K, eV per atom: 0.125

Structure (CIF):
```
data_LaTb6Pr12
_chemical_formula_sum 'La3 Tb18 Pr36'
_cell_length_a 12.2905
_cell_length_b 12.2905
_cell_length_c 15.5074
_cell_angle_alpha 90.00
_cell_angle_beta 90.00
_cell_angle_gamma 120.00
_symmetry_space_group_name_H-M 'R -3'
_symmetry_Int_Tables_number 148
_symmetry_space_group_name_Hall '-R 3'
loop_
_atom_site_label
_atom_site_fract_x
_atom_site_fract_y
_atom_site_fract_z
La1 0.0000 0.0000 0.0000
Tb1 0.0143 0.5870 0.6861
Pr1 0.0038 0.1749 0.1918
Pr2 0.0471 0.1978 0.4165
```


Entry 11:
Entry from Alexandria via LeMat-Bulk: a relaxed structure of TlInB2Te (PBE).

Summary:
Raw formation energy, kJ/mol of atoms: 157

Structure (CIF):
```
data_TlInB2Te
_chemical_formula_sum 'Tl1 In1 B2 Te1'
_cell_length_a 4.551
_cell_length_b 4.551
_cell_length_c 6.405
_cell_angle_alpha 90.00
_cell_angle_beta 90.00
_cell_angle_gamma 90.00
_symmetry_space_group_name_H-M 'P 4/m m m'
_symmetry_Int_Tables_number 123
_symmetry_space_group_name_Hall '-P 4 2'
loop_
_atom_site_label
_atom_site_fract_x
_atom_site_fract_y
_atom_site_fract_z
Tl1 0.000 0.000 0.000
In1 0.500 0.500 0.500
B1 0.000 0.500 0.000
Te1 0.000 0.000 0.500
```


Entry 12:
Entry from Alexandria via LeMat-Bulk: a relaxed structure of NiGeS2N (PBE).

Summary:
Raw formation energy, kJ/mol of atoms: 103

Structure (CIF):
```
data_NiGeS2N
_chemical_formula_sum 'Ni1 Ge1 S2 N1'
_cell_length_a 4.801
_cell_length_b 4.801
_cell_length_c 3.521
_cell_angle_alpha 90.00
_cell_angle_beta 90.00
_cell_angle_gamma 90.00
_symmetry_space_group_name_H-M 'P 4/m m m'
_symmetry_Int_Tables_number 123
_symmetry_space_group_name_Hall '-P 4 2'
loop_
_atom_site_label
_atom_site_fract_x
_atom_site_fract_y
_atom_site_fract_z
Ni1 0.000 0.000 0.000
Ge1 0.500 0.500 0.500
S1 0.000 0.500 0.500
N1 0.500 0.500 0.000
```